Record 1
BeSiO3: relaxed, PBE.

## Properties
Energy relative to the elements, uncorrected in eV per atom: -1.538
Fermi-level density of states in states/eV/f.u.: 0.00
Magnetization in μB/cell: 0.00
E_tot in Ha/atom: -0.233

Cell: 3.4425 3.4425 3.4425 Å, 90.00 90.00 90.00°
Last column: nearest neighbours and their distance in Å.
Positions (direct):
O: 0.0000 0.0000 0.5000  2 Si 1.72
O: 0.0000 0.5000 0.0000  2 Si 1.72
Si: 0.0000 0.0000 0.0000  6 O 1.72
Be: 0.5000 0.5000 0.5000  12 O 2.43
O: 0.5000 0.0000 0.0000  2 Si 1.72

Record 2
BeSiO: relaxed, PBE.

## Properties
Energy relative to the elements, uncorrected in eV per atom: -1.411
Fermi-level density of states in states/eV/f.u.: 1.44
Magnetization in μB/cell: 0.00
E_tot in Ha/atom: -0.225

Cell: 2.6392 2.6399 7.8944 Å, 88.72 89.41 60.01°
Last column: nearest neighbours and their distance in Å.
Positions (direct):
O: 0.9878 0.5630 0.8902  3 Be 1.52
Be: 0.3211 0.8964 0.8903  3 O 1.52
Si: 0.9759 0.5590 0.3903  6 Si 2.64

Record 3
BeSiO3: relaxed, PBE.

## Properties
Energy relative to the elements, uncorrected in eV per atom: -0.711
Fermi-level density of states in states/eV/f.u.: 1.56
Magnetization in μB/cell: 0.00
E_tot in Ha/atom: -0.203

Cell: 3.3730 3.3730 3.3730 Å, 90.00 90.00 90.00°
Last column: nearest neighbours and their distance in Å.
Positions (direct):
O: 0.5000 0.0000 0.0000  2 Be 1.69
O: 0.0000 0.5000 0.0000  2 Be 1.69
O: 0.0000 0.0000 0.5000  2 Be 1.69
Be: 0.0000 0.0000 0.0000  6 O 1.69
Si: 0.5000 0.5000 0.5000  12 O 2.39

Record 4
BeSi3O: relaxed, PBE.

## Properties
Energy relative to the elements, uncorrected in eV per atom: 0.430
Fermi-level density of states in states/eV/f.u.: 1.15
Magnetization in μB/cell: 0.00
E_tot in Ha/atom: -0.168

Cell: 4.0848 4.0848 4.0848 Å, 90.00 90.00 90.00°
Last column: nearest neighbours and their distance in Å.
Positions (direct):
Be: 0.5000 0.5000 0.5000  12 Si 2.89
Si: 0.0000 0.0000 0.5000  2 O 2.04
Si: 0.5000 0.0000 0.0000  2 O 2.04
Si: 0.0000 0.5000 0.0000  2 O 2.04
O: 0.0000 0.0000 0.0000  6 Si 2.04

Record 5
BeSiO: relaxed, PBE.

## Properties
Energy relative to the elements, uncorrected in eV per atom: -1.442
Fermi-level density of states in states/eV/f.u.: 0.37
Magnetization in μB/cell: 0.00
E_tot in Ha/atom: -0.226

Cell: 2.5885 4.6663 7.9868 Å, 89.94 80.78 90.01°
Last column: nearest neighbours and their distance in Å.
Positions (direct):
Be: 0.4887 0.2454 0.5705  3 O 1.52-1.53
Be: 0.9881 0.7454 0.5718  3 O 1.52-1.53
Si: 0.2634 0.5863 0.0325  4 Si 2.41-2.59
Si: 0.2269 0.0862 0.1069  4 Si 2.41-2.59
O: 0.4869 0.5740 0.5741  3 Be 1.52-1.53
O: 0.9898 0.0740 0.5682  3 Be 1.52-1.53

Record 6
Be2SiO2: relaxed, PBE.

## Properties
Energy relative to the elements, uncorrected in eV per atom: -1.191
Fermi-level density of states in states/eV/f.u.: 1.23
Magnetization in μB/cell: 0.00
E_tot in Ha/atom: -0.211

Cell: 3.2907 3.2907 7.5634 Å, 77.44 77.44 90.00°
Last column: nearest neighbours and their distance in Å.
Positions (direct):
Si: 0.0000 0.0000 0.0000  4 Si 3.29, 2 Be 3.61
Be: 0.7492 0.7492 0.5016  4 O 1.65
Be: 0.2508 0.2508 0.4984  4 O 1.65
O: 0.2500 0.7500 0.5000  4 Be 1.65
O: 0.7500 0.2500 0.5000  4 Be 1.65

Record 7
BeSi3O: relaxed, PBE.

## Properties
Energy relative to the elements, uncorrected in eV per atom: 0.857
Fermi-level density of states in states/eV/f.u.: 5.25
Magnetization in μB/cell: 0.05
E_tot in Ha/atom: -0.152

Cell: 4.2058 4.2058 4.2058 Å, 90.00 90.00 90.00°
Last column: nearest neighbours and their distance in Å.
Positions (direct):
Si: 0.0000 0.5000 0.0000  2 Be 2.10
Si: 0.0000 0.0000 0.5000  2 Be 2.10
O: 0.5000 0.5000 0.5000  12 Si 2.97
Be: 0.0000 0.0000 0.0000  6 Si 2.10
Si: 0.5000 0.0000 0.0000  2 Be 2.10

Record 8
BeSiO: relaxed, PBE.

## Properties
Energy relative to the elements, uncorrected in eV per atom: -1.372
Fermi-level density of states in states/eV/f.u.: 0.22
Magnetization in μB/cell: 0.00
E_tot in Ha/atom: -0.223

Cell: 3.9638 2.8231 12.5723 Å, 90.00 106.65 90.00°
Last column: nearest neighbours and their distance in Å.
Positions (direct):
Be: 0.7664 0.5000 0.1704  3 O 1.50-1.64
O: 0.9971 0.0000 0.5941  3 Be 1.50-1.59
Si: 0.1862 0.0000 0.8895  1 Be 2.40, 4 Si 2.52-2.54
Be: 0.1616 0.0000 0.0782  3 O 1.59-1.76
O: 0.9971 0.5000 0.0941  3 Be 1.50-1.59
Si: 0.6317 0.0000 0.3324  1 O 1.83
O: 0.5684 0.5000 0.6827  3 Be 1.64-1.76, 1 Si 1.83
Si: 0.6317 0.5000 0.8324  1 O 1.83
O: 0.5684 0.0000 0.1827  3 Be 1.64-1.76, 1 Si 1.83
Si: 0.1862 0.5000 0.3895  1 Be 2.40, 4 Si 2.52-2.54
Be: 0.7664 0.0000 0.6704  3 O 1.50-1.64
Be: 0.1616 0.5000 0.5782  3 O 1.59-1.76

Record 9
Be2SiO4: relaxed, PBE.

## Properties
Energy relative to the elements, uncorrected in eV per atom: -2.270
Fermi-level density of states in states/eV/f.u.: 0.00
Magnetization in μB/cell: 0.00
E_tot in Ha/atom: -0.255

Cell: 6.1937 7.4273 11.1610 Å, 94.76 108.41 73.69°
Last column: nearest neighbours and their distance in Å.
Positions (direct):
O: 0.9730 0.5604 0.1167  2 Be 1.58-1.64, 1 Si 1.75
O: 0.7744 0.6018 0.7008  1 Be 1.48
Be: 0.2590 0.4637 0.1637  4 O 1.64-1.72
Be: 0.9579 0.0209 0.1743  3 O 1.50-1.63
Be: 0.2574 0.2761 0.9382  3 O 1.58-1.63
O: 0.8859 0.1137 0.7035  3 Be 1.53-1.63
O: 0.9147 0.2228 0.1420  1 Be 1.50, 1 Si 1.62
O: 0.3598 0.4056 0.8341  1 O 1.50
Si: 0.1640 0.7003 0.6148  3 O 1.66-1.74
Be: 0.0119 0.0438 0.6021  2 O 1.55-1.61
Be: 0.3263 0.8157 0.2466  3 O 1.48-1.59
O: 0.0270 0.4396 0.8833  2 Be 1.58-1.64, 1 Si 1.75
O: 0.6203 0.7173 0.9099  2 Be 1.63-1.64, 1 Si 1.66
O: 0.6548 0.4237 0.4630  2 Be 1.56-1.59, 1 Si 1.66
Be: 0.9881 0.9562 0.3979  2 O 1.55-1.61
Si: 0.0748 0.5823 0.7821  3 O 1.62-1.76
O: 0.7287 0.9420 0.1033  2 Be 1.63, 1 Si 1.67
Be: 0.7410 0.5363 0.8363  4 O 1.64-1.72
O: 0.1141 0.8863 0.2965  3 Be 1.53-1.63
O: 0.6402 0.5944 0.1659  1 O 1.50
O: 0.0853 0.7772 0.8580  1 Be 1.50, 1 Si 1.62
O: 0.3615 0.9644 0.1802  1 Be 1.48, 1 Si 1.58
O: 0.5596 0.3961 0.7835  1 O 1.50, 1 Be 1.59
Si: 0.8360 0.2997 0.3852  3 O 1.66-1.74
O: 0.7043 0.1249 0.3103  2 Si 1.70-1.74, 1 Be 1.87
O: 0.9549 0.8515 0.5090  2 Be 1.61-1.75, 1 Si 1.66
O: 0.6385 0.0356 0.8198  1 Be 1.48, 1 Si 1.58
Si: 0.5293 0.0811 0.1653  4 O 1.58-1.70
O: 0.2713 0.0580 0.8967  2 Be 1.63, 1 Si 1.67
O: 0.2957 0.8751 0.6897  2 Si 1.70-1.74, 1 Be 1.87
Be: 0.7426 0.7239 0.0618  3 O 1.58-1.63
O: 0.2256 0.3982 0.2992  1 Be 1.48
Be: 0.6243 0.5411 0.5818  3 O 1.48-1.59
Si: 0.9252 0.4177 0.2179  3 O 1.62-1.76
Be: 0.3757 0.4589 0.4182  3 O 1.48-1.59
Be: 0.6737 0.1843 0.7534  3 O 1.48-1.59
O: 0.3797 0.2827 0.0901  2 Be 1.63-1.64, 1 Si 1.66
O: 0.0451 0.1485 0.4910  2 Be 1.61-1.75, 1 Si 1.66
O: 0.4404 0.6039 0.2165  1 O 1.50, 1 Be 1.59
O: 0.3452 0.5763 0.5370  2 Be 1.56-1.59, 1 Si 1.66
Si: 0.4707 0.9189 0.8347  4 O 1.58-1.70
Be: 0.0421 0.9791 0.8257  3 O 1.50-1.63

Record 10
BeSi2SnO: relaxed, PBE.

## Properties
Energy relative to the elements, uncorrected in eV per atom: 1.558
Fermi-level density of states in states/eV/f.u.: 1.79
Magnetization in μB/cell: 0.00
E_tot in Ha/atom: -0.116

Cell: 5.2209 4.4338 5.2209 Å, 90.00 90.00 90.00°
Last column: nearest neighbours and their distance in Å.
Positions (direct):
Sn: 0.0000 0.0000 0.0000  2 Be 2.22
Be: 0.0000 0.5000 0.0000  2 Sn 2.22
Si: 0.5000 0.0000 0.0000  2 Sn 2.61
Si: 0.0000 0.0000 0.5000  2 Sn 2.61
O: 0.5000 0.5000 0.5000  8 Si 3.42, 4 Be 3.69

Record 11
Sr2Be2SiO6: relaxed, PBE.

## Properties
Energy relative to the elements, uncorrected in eV per atom: -2.713
Fermi-level density of states in states/eV/f.u.: 0.00
Magnetization in μB/cell: 0.00
E_tot in Ha/atom: -0.253

Cell: 5.1832 5.1871 5.8096 Å, 114.50 90.00 119.98°
Last column: nearest neighbours and their distance in Å.
Positions (direct):
O: 0.7345 0.9812 0.2663  1 Be 1.55
O: 0.7328 0.4655 0.6682  1 Be 1.53
O: 0.2655 0.0188 0.7337  1 Be 1.55
Si: 0.5000 0.0000 0.5000  6 O 1.83-1.84
O: 0.2672 0.5345 0.3318  1 Be 1.53
O: 0.2467 0.9812 0.2663  1 Be 1.55
Sr: 0.7151 0.4302 0.1702  9 O 2.62-2.82, 1 Be 2.81
Be: 0.9166 0.8331 0.7186  3 O 1.53-1.55
O: 0.7533 0.0188 0.7337  1 Be 1.55
Be: 0.0834 0.1669 0.2814  3 O 1.53-1.55
Sr: 0.2849 0.5698 0.8298  9 O 2.62-2.82, 1 Be 2.81